# 1
A plane-wave DFT calculation with PBE-GGA was carried out for an optimized crystal structure of Nb2RuPt.

## Properties
**Space-group type**: I-42d, No. 122
**Density of states at the Fermi level**: 1.024 states/eV/atom

Lattice parameters (Å, degrees): 7.1461 7.1461 5.7659 51.71 51.71 90.00
Atoms (fractional coordinates):
Ru 0.5000 0.5000 0.0000
Ru 0.2500 0.7500 0.5000
Nb 0.6097 0.1250 0.2500
Nb 0.1403 0.6250 0.2500
Nb 0.3750 0.3903 0.7500
Nb 0.8750 0.8597 0.7500
Pt 0.0000 0.0000 0.0000
Pt 0.7500 0.2500 0.5000

---

# 2
A plane-wave DFT calculation with PBE-GGA was carried out for an optimized crystal structure of HoInSn.

## Properties
**Space-group type**: I4mm, No. 107
**Relative energy among the computed polymorphs**: 0.16 eV/f.u.
**Density of states at the Fermi level**: 0.843 states/eV/atom

Lattice parameters (Å, degrees): 3.7657 3.7657 6.1825 107.73 107.73 90.00
Atoms (fractional coordinates):
Ho 0.2830 0.2830 0.5661
Sn 0.9604 0.9604 0.9208
In 0.6065 0.6065 0.2131

---

Table of calculated total energy (eV per atom), in record order: -8.773, -4.069
Table of magnetic moment (μB per formula unit), in record order: 0.0, 0.0